Here is an optimized crystal structure of Ba3Co2Cu2P4 from OQMD. Energies are from PBE.

## Properties
V in Å³/f.u.: 232.2
Space-group type: No. 164
Calculated total energy in eV/atom: -5.091
Density in Mg/m³: 5.58
Spin magnetization in μB/atom: 0.001

Lattice parameters (Å, degrees): 3.995 3.995 16.800 90.00 90.00 120.00
Atoms (fractional coordinates):
Ba: 0.000 0.000 0.000
Ba: 0.000 0.000 0.288
Ba: 0.000 0.000 0.712
Co: 0.333 0.667 0.550
Co: 0.667 0.333 0.450
Cu: 0.333 0.667 0.143
Cu: 0.667 0.333 0.857
P: 0.333 0.667 0.422
P: 0.333 0.667 0.858
P: 0.667 0.333 0.142
P: 0.667 0.333 0.578